Crystalline SmInB at its relaxed geometry, computed with PBE.

It has space group F-43m (No. 216), with a = 6.233 Å, b = 6.233 Å, c = 6.233 Å, α = 90.00°, β = 90.00° and γ = 90.00°. The asymmetric unit holds Sm at (0.000, 0.000, 0.000), In at (0.000, 0.000, 0.500) and B at (0.250, 0.250, 0.750).

Its size of the total moment is 0.02 Bohr magnetons per cell. The calculation puts the excess energy over the best structure of this formula in the dataset at 0.000 eV/atom.